The following is a DFT calculation (PBE) of a geometry-optimized La3ThAs4 structure.

Unit cell a=8.6871 b=12.2697 c=4.3374 alpha=90.00 beta=90.00 gamma=90.00
Closest atoms and distances in Å follow each position.
Space group Cmmm (No. 65)
One atom of each set of equivalent atoms:
1 La 0.0000 0.0000 0.0000 [2 per cell]  6 As 3.11-3.12
2 La 0.2500 0.2500 0.5000 [4 per cell]  6 As 3.07
3 Th 0.0000 0.5000 0.0000 [2 per cell]  6 As 3.02-3.03
4 As 0.0000 0.2539 0.0000 [4 per cell]  1 Th 3.02, 5 La 3.07-3.12
5 As 0.2434 0.5000 0.5000 [4 per cell]  2 Th 3.03, 4 La 3.07-3.11

Summary:
theoretical density: 6.813 g/cm3
crystal system: orthorhombic
calculated total energy: -6.6552 eV/atom

The following is a DFT calculation (PBE) of a geometry-optimized LaThAs structure.

Unit cell a=7.1460 b=7.1460 c=7.1460 alpha=90.00 beta=90.00 gamma=90.00
Closest atoms and distances in Å follow each position.
Space group F-43m (No. 216)
One atom of each set of equivalent atoms:
1 La 0.0000 0.0000 0.0000 [4 per cell]  4 Th 3.09
2 Th 0.2500 0.2500 0.7500 [4 per cell]  4 As 3.09, 4 La 3.09
3 As 0.0000 0.0000 0.5000 [4 per cell]  4 Th 3.09

Summary:
theoretical density: 8.116 g/cm3
crystal system: cubic
calculated total energy: -5.4635 eV/atom

The following is a DFT calculation (PBE) of a geometry-optimized LaTh2As3 structure.

Unit cell a=4.2794 b=6.0588 c=12.8841 alpha=90.00 beta=90.00 gamma=90.00
Closest atoms and distances in Å follow each position.
Space group Immm (No. 71)
One atom of each set of equivalent atoms:
1 La 0.0000 0.0000 0.0000 [2 per cell]  6 As 3.03-3.07
2 Th 0.0000 0.0000 0.3348 [4 per cell]  6 As 3.01-3.03
3 As 0.0000 0.5000 0.0000 [2 per cell]  4 Th 3.02, 2 La 3.03
4 As 0.0000 0.5000 0.3291 [4 per cell]  4 Th 3.01-3.03, 2 La 3.07

Summary:
theoretical density: 8.229 g/cm3
crystal system: orthorhombic
calculated total energy: -7.0875 eV/atom